# ZrTe2Pb

ZrTe2Pb after structural relaxation (PBE-GGA, the Alexandria database).

POSCAR file:
```
ZrTe2Pb
1.0
-2.131 8.202 5.083
-5.589 6.757 4.557
-3.445 5.536 7.426
Pb Te Zr
1 2 1
direct
0.246 0.246 0.246
0.767 0.767 0.767
0.990 0.990 0.990
0.496 0.496 0.496
```

Summary:
- raw formation energy (eV/atom) = -0.18
- D(E_F) (states/eV/f.u.) = 4.04

***

# RbNpCl3

RbNpCl3 after structural relaxation (PBE-GGA, the Alexandria database).

POSCAR file:
```
RbNpCl3
1.0
-2.417 4.557 1.967
-2.559 0.731 -4.836
-4.253 -3.029 1.793
Rb Np Cl
1 1 3
direct
0.500 0.500 0.500
0.000 0.000 0.000
0.000 0.500 0.000
0.500 0.000 0.000
0.000 0.000 0.500
```

Summary:
- raw formation energy (eV/atom) = -1.51
- D(E_F) (states/eV/f.u.) = 15.87
- energy above the most stable polymorph in this dataset (meV/atom) = 78

***

# BiPtSCl2

BiPtSCl2 after structural relaxation (PBE-GGA, the Alexandria database).

POSCAR file:
```
BiPtSCl2
1.0
-1.024 -2.541 -3.994
4.723 -0.263 -1.043
0.329 -4.101 2.524
Cl Pt S Bi
2 1 1 1
direct
0.500 0.000 0.000
0.000 0.500 0.000
0.000 0.000 0.000
0.000 0.000 0.500
0.500 0.500 0.500
```

Summary:
- raw formation energy (eV/atom) = 0.03
- D(E_F) (states/eV/f.u.) = 2.14
- energy above the most stable polymorph in this dataset (meV/atom) = 0

***

# BeCdB

BeCdB after structural relaxation (PBE-GGA, the Alexandria database).

POSCAR file:
```
BeCdB
1.0
-1.049 -0.088 3.038
13.143 -2.407 4.467
0.555 3.579 0.296
Cd Be B
4 4 4
direct
0.000 0.313 0.379
0.500 0.813 0.379
0.000 0.687 0.879
0.500 0.187 0.879
0.000 0.029 0.753
0.500 0.529 0.753
0.500 0.471 0.253
0.000 0.971 0.253
0.500 0.993 0.505
0.000 0.507 0.005
0.500 0.007 0.005
0.000 0.493 0.505
```

Summary:
- energy of formation from the pure elements (eV per atom) = 0.226
- D(E_F) (states/eV/f.u.) = 0.20
- energy above the most stable polymorph in this dataset (meV/atom) = 122

***

# HfTl2Ag

HfTl2Ag after structural relaxation (PBE-GGA, the Alexandria database).

POSCAR file:
```
HfTl2Ag
1.0
3.253 0.000 0.000
1.627 2.818 0.000
1.627 0.939 10.825
Hf Tl Ag
1 2 1
direct
0.000 0.000 0.000
0.909 0.909 0.272
0.091 0.091 0.728
0.500 0.500 0.500
```

Summary:
- energy of formation from the pure elements (eV per atom) = 0.345
- D(E_F) (states/eV/f.u.) = 2.20
- energy above the most stable polymorph in this dataset (meV/atom) = 190

***

# LiPuBr2

LiPuBr2 after structural relaxation (PBE-GGA, the Alexandria database).

POSCAR file:
```
LiPuBr2
1.0
-0.343 -3.794 -0.623
-0.458 -2.412 2.980
-9.357 -1.140 0.138
Br Li Pu
2 1 1
direct
0.909 0.909 0.273
0.091 0.091 0.727
0.000 0.000 0.000
0.500 0.500 0.500
```

Summary:
- raw formation energy (eV/atom) = -0.99
- D(E_F) (states/eV/f.u.) = 6.63